An optimized crystal structure of Ac8Pm2Y, computed with PBE-GGA.

Computed properties:
DFT formation energy: 0.037 eV per atom
DOS(E_F): 19.46 states/eV/f.u.

Cell lengths 5.5585, 8.7058, 10.2502 Å; angles 104.79, 105.73, 90.00 degrees
Last column: nearest neighbours and their distance in Å.
Fractional positions:
Ac (0.0469, 0.7293, 0.0938)  1 Pm 3.85, 9 Ac 3.89-3.94, 2 Y 3.91
Y (0.5000, 0.0000, 0.0000)  12 Ac 3.85-3.93
Ac (0.6815, 0.9143, 0.3629)  1 Y 3.85, 3 Pm 3.88-3.95, 8 Ac 3.89-3.94
Ac (0.9531, 0.2707, 0.9062)  1 Pm 3.85, 9 Ac 3.89-3.94, 2 Y 3.91
Ac (0.1380, 0.1883, 0.2759)  3 Pm 3.80-3.89, 7 Ac 3.85-3.92, 2 Y 3.93
Ac (0.4068, 0.5478, 0.8135)  3 Pm 3.83-3.86, 8 Ac 3.85-3.98, 1 Y 3.88
Ac (0.3185, 0.0857, 0.6371)  1 Y 3.85, 3 Pm 3.88-3.95, 8 Ac 3.89-3.94
Ac (0.8620, 0.8117, 0.7241)  3 Pm 3.80-3.89, 7 Ac 3.85-3.92, 2 Y 3.93
Pm (0.2263, 0.6334, 0.4526)  10 Ac 3.80-3.95, 2 Pm 3.89
Pm (0.7737, 0.3666, 0.5474)  10 Ac 3.80-3.95, 2 Pm 3.89
Ac (0.5932, 0.4522, 0.1865)  3 Pm 3.83-3.86, 8 Ac 3.85-3.98, 1 Y 3.88

An optimized crystal structure of Sr3CuAu, computed with PBE-GGA.

Computed properties:
DFT formation energy: -0.340 eV per atom
DOS(E_F): 2.92 states/eV/f.u.

Cell lengths 4.3406, 8.9523, 9.0436 Å; angles 91.33, 89.93, 104.19 degrees
Last column: nearest neighbours and their distance in Å.
Fractional positions:
Au (0.3746, 0.7127, 0.1368)  8 Sr 3.26-3.63
Sr (0.9286, 0.8207, 0.3868)  4 Au 3.26-3.63
Sr (0.5815, 0.1332, 0.6457)  3 Cu 3.02-3.10, 1 Au 3.27
Sr (0.2179, 0.4026, 0.3975)  3 Cu 3.27-3.31, 3 Au 3.33-3.62
Cu (0.7568, 0.4807, 0.6657)  2 Cu 2.54
Sr (0.7384, 0.4436, 0.0243)  3 Cu 3.27-3.32, 3 Au 3.33-3.61
Sr (0.0281, 0.0256, 0.0348)  4 Au 3.26-3.63
Au (0.5823, 0.1340, 0.2847)  8 Sr 3.26-3.63
Cu (0.1978, 0.3643, 0.7558)  2 Cu 2.54
Sr (0.3741, 0.7122, 0.7758)  3 Cu 3.02-3.11, 1 Au 3.26

An optimized crystal structure of ScCu2Pb, computed with PBE-GGA.

Computed properties:
DFT formation energy: -0.020 eV per atom
DOS(E_F): 1.81 states/eV/f.u.

Cell lengths 4.6703, 4.6703, 4.6703 Å; angles 60.00, 60.00, 60.00 degrees
Last column: nearest neighbours and their distance in Å.
Fractional positions:
Cu (0.0000, 0.0000, 0.0000)  4 Cu 2.86, 4 Sc 2.86
Pb (0.5000, 0.5000, 0.5000)  4 Sc 2.86, 4 Cu 2.86
Cu (0.2500, 0.2500, 0.2500)  4 Pb 2.86, 4 Cu 2.86
Sc (0.7500, 0.7500, 0.7500)  4 Pb 2.86, 4 Cu 2.86

An optimized crystal structure of Pu2UGa, computed with PBE-GGA.

Computed properties:
DFT formation energy: 0.072 eV per atom
DOS(E_F): 9.31 states/eV/f.u.

Cell lengths 4.9483, 4.9483, 4.9483 Å; angles 60.00, 60.00, 60.00 degrees
Last column: nearest neighbours and their distance in Å.
Fractional positions:
Ga (0.5000, 0.5000, 0.5000)  8 Pu 3.03
U (0.0000, 0.0000, 0.0000)  8 Pu 3.03
Pu (0.7500, 0.7500, 0.7500)  4 U 3.03, 4 Ga 3.03
Pu (0.2500, 0.2500, 0.2500)  4 U 3.03, 4 Ga 3.03